(1)
# MgCd2Hg | Alexandria | meta-GGA SCAN | single point on PBEsol structure
data_MgCd2Hg
_space_group_name_H-M_alt 'C m m m'
_space_group_IT_number 65
_space_group_name_Hall '-C 2 2'
_cell_length_a 5.773
_cell_length_b 7.909
_cell_length_c 3.781
_cell_angle_alpha 90.00
_cell_angle_beta 90.00
_cell_angle_gamma 90.00
loop_
_atom_site_label
_atom_site_type_symbol
_atom_site_fract_x
_atom_site_fract_y
_atom_site_fract_z
Mg1 Mg 0.000 0.000 0.000
Cd1 Cd 0.250 0.250 0.500
Hg1 Hg 0.000 0.500 0.000
# distance to the lowest polymorph of the same formula = 15 meV/atom
# DOS at the Fermi energy = 3.19 states/eV/cell
# size of the total moment = 0.0 μB/cell
# crystal system = orthorhombic



(2)
# MgCd2Hg | Alexandria | meta-GGA SCAN | single point on PBEsol structure
data_MgCd2Hg
_space_group_name_H-M_alt 'I -4 m 2'
_space_group_IT_number 119
_space_group_name_Hall 'I -4 -2'
_cell_length_a 4.361
_cell_length_b 4.361
_cell_length_c 8.754
_cell_angle_alpha 90.00
_cell_angle_beta 90.00
_cell_angle_gamma 90.00
loop_
_atom_site_label
_atom_site_type_symbol
_atom_site_fract_x
_atom_site_fract_y
_atom_site_fract_z
Mg1 Mg 0.000 0.000 0.000
Cd1 Cd 0.000 0.000 0.500
Cd2 Cd 0.000 0.500 0.250
Hg1 Hg 0.000 0.500 0.750
# distance to the lowest polymorph of the same formula = 6 meV/atom
# DOS at the Fermi energy = 2.04 states/eV/cell
# size of the total moment = 0.0 μB/cell
# crystal system = tetragonal



(3)
# Mg2CdHg | Alexandria | meta-GGA SCAN | single point on PBEsol structure
data_Mg2CdHg
_space_group_name_H-M_alt 'R -3 m'
_space_group_IT_number 166
_space_group_name_Hall '-R 3 2"'
_cell_length_a 3.2653
_cell_length_b 3.2653
_cell_length_c 27.8049
_cell_angle_alpha 90.00
_cell_angle_beta 90.00
_cell_angle_gamma 120.00
loop_
_atom_site_label
_atom_site_type_symbol
_atom_site_fract_x
_atom_site_fract_y
_atom_site_fract_z
Mg1 Mg 0.0000 0.0000 0.2484
Cd1 Cd 0.0000 0.0000 0.0000
Hg1 Hg 0.0000 0.0000 0.5000
# distance to the lowest polymorph of the same formula = 84 meV/atom
# DOS at the Fermi energy = 3.97 states/eV/cell
# size of the total moment = 0.0 μB/cell
# crystal system = trigonal



(4)
# Mg2CdHg | Alexandria | meta-GGA SCAN | single point on PBEsol structure
data_Mg2CdHg
_space_group_name_H-M_alt 'I -4 m 2'
_space_group_IT_number 119
_space_group_name_Hall 'I -4 -2'
_cell_length_a 4.283
_cell_length_b 4.283
_cell_length_c 9.070
_cell_angle_alpha 90.00
_cell_angle_beta 90.00
_cell_angle_gamma 90.00
loop_
_atom_site_label
_atom_site_type_symbol
_atom_site_fract_x
_atom_site_fract_y
_atom_site_fract_z
Mg1 Mg 0.000 0.000 0.000
Mg2 Mg 0.000 0.500 0.250
Cd1 Cd 0.000 0.000 0.500
Hg1 Hg 0.000 0.500 0.750
# distance to the lowest polymorph of the same formula = 66 meV/atom
# DOS at the Fermi energy = 2.69 states/eV/cell
# size of the total moment = 0.0 μB/cell
# crystal system = tetragonal